No. 1
Compound: ThPaMnN3
Source: the Alexandria database
Functional: GGA-PBE
Structure: relaxed

Cell and atoms, written as CIF:
```
data_ThPaMnN3
_cell_length_a 7.256
_cell_length_b 3.420
_cell_length_c 7.332
_cell_angle_alpha 90.00
_cell_angle_beta 102.43
_cell_angle_gamma 90.00
_symmetry_space_group_name_H-M 'P 1 21/m 1'
_symmetry_Int_Tables_number 11
_symmetry_space_group_name_Hall '-P 2yb'
loop_
_atom_site_label
_atom_site_type_symbol
_atom_site_fract_x
_atom_site_fract_y
_atom_site_fract_z
Th1 Th 0.203 0.250 0.173
Pa1 Pa 0.185 0.250 0.665
Mn1 Mn 0.421 0.750 0.912
N1 N 0.139 0.750 0.423
N2 N 0.141 0.750 0.885
N3 N 0.469 0.750 0.181
```

Properties
Formation energy (no corrections), kJ/mol of formula units: -694
D(E_F), states/eV per atom: 0.477
Mass density, g cm⁻³: 10.5

---

No. 2
Compound: CrCoSiGe2
Source: the Alexandria database
Functional: GGA-PBE
Structure: relaxed

Cell and atoms, written as CIF:
```
data_CrCoSiGe2
_cell_length_a 4.581
_cell_length_b 4.581
_cell_length_c 4.442
_cell_angle_alpha 90.00
_cell_angle_beta 90.00
_cell_angle_gamma 90.00
_symmetry_space_group_name_H-M 'P 4/m m m'
_symmetry_Int_Tables_number 123
_symmetry_space_group_name_Hall '-P 4 2'
loop_
_atom_site_label
_atom_site_type_symbol
_atom_site_fract_x
_atom_site_fract_y
_atom_site_fract_z
Cr1 Cr 0.000 0.000 0.000
Co1 Co 0.500 0.500 0.500
Si1 Si 0.000 0.000 0.500
Ge1 Ge 0.000 0.500 0.000
```

Properties
Formation energy (no corrections), kJ/mol of formula units: 375
D(E_F), states/eV per atom: 1.338
Mass density, g cm⁻³: 5.1

---

No. 3
Compound: Ce5GaGe2
Source: the Alexandria database
Functional: GGA-PBE
Structure: relaxed

Cell and atoms, written as CIF:
```
data_Ce5GaGe2
_cell_length_a 5.179
_cell_length_b 9.409
_cell_length_c 16.711
_cell_angle_alpha 90.00
_cell_angle_beta 90.00
_cell_angle_gamma 90.00
_symmetry_space_group_name_H-M 'C m c m'
_symmetry_Int_Tables_number 63
_symmetry_space_group_name_Hall '-C 2c 2'
loop_
_atom_site_label
_atom_site_type_symbol
_atom_site_fract_x
_atom_site_fract_y
_atom_site_fract_z
Ce1 Ce 0.000 0.062 0.073
Ce2 Ce 0.000 0.269 0.750
Ce3 Ce 0.000 0.408 0.103
Ga1 Ga 0.000 0.057 0.250
Ge1 Ge 0.000 0.268 0.571
```

Properties
ΔH_f (0 K), eV/atom: -0.439
D(E_F), states/eV per atom: 2.866
Mass density, g cm⁻³: 7.5

---

No. 4
Compound: RbGaH
Source: the Alexandria database
Functional: GGA-PBE
Structure: relaxed

Cell and atoms, written as CIF:
```
data_RbGaH
_cell_length_a 5.940
_cell_length_b 4.627
_cell_length_c 6.668
_cell_angle_alpha 90.00
_cell_angle_beta 116.41
_cell_angle_gamma 90.00
_symmetry_space_group_name_H-M 'P 1 21/m 1'
_symmetry_Int_Tables_number 11
_symmetry_space_group_name_Hall '-P 2yb'
loop_
_atom_site_label
_atom_site_type_symbol
_atom_site_fract_x
_atom_site_fract_y
_atom_site_fract_z
Rb1 Rb 0.166 0.250 0.298
Ga1 Ga 0.470 0.250 0.922
H1 H 0.400 0.750 0.257
```

Properties
D(E_F), states/eV per atom: 0.220
Mass density, g cm⁻³: 3.2
Distance to the lowest polymorph of the same formula, eV per formula unit: 0.05

---

No. 5
Compound: Pm6SmHo12
Source: the Alexandria database
Functional: GGA-PBE
Structure: relaxed

Cell and atoms, written as CIF:
```
data_Pm6SmHo12
_cell_length_a 11.0810
_cell_length_b 11.0810
_cell_length_c 17.4351
_cell_angle_alpha 90.00
_cell_angle_beta 90.00
_cell_angle_gamma 120.00
_symmetry_space_group_name_H-M 'R -3 m'
_symmetry_Int_Tables_number 166
_symmetry_space_group_name_Hall '-R 3 2"'
loop_
_atom_site_label
_atom_site_type_symbol
_atom_site_fract_x
_atom_site_fract_y
_atom_site_fract_z
Pm1 Pm 0.0703 0.5352 0.2655
Sm1 Sm 0.0000 0.0000 0.5000
Ho1 Ho 0.1028 0.5514 0.9143
Ho2 Ho 0.1064 0.2127 0.9092
```

Properties
ΔH_f (0 K), eV/atom: 0.118
D(E_F), states/eV per atom: 1.583
Mass density, g cm⁻³: 8.1
Distance to the lowest polymorph of the same formula, eV per formula unit: 0.00

---

No. 6
Compound: LaScPt2W
Source: the Alexandria database
Functional: GGA-PBE
Structure: relaxed

Cell and atoms, written as CIF:
```
data_LaScPt2W
_cell_length_a 4.937
_cell_length_b 4.937
_cell_length_c 5.217
_cell_angle_alpha 90.00
_cell_angle_beta 90.00
_cell_angle_gamma 90.00
_symmetry_space_group_name_H-M 'P 4/m m m'
_symmetry_Int_Tables_number 123
_symmetry_space_group_name_Hall '-P 4 2'
loop_
_atom_site_label
_atom_site_type_symbol
_atom_site_fract_x
_atom_site_fract_y
_atom_site_fract_z
La1 La 0.000 0.000 0.000
Sc1 Sc 0.500 0.500 0.000
Pt1 Pt 0.000 0.500 0.500
W1 W 0.000 0.000 0.500
```

Properties
ΔH_f (0 K), eV/atom: 0.497
D(E_F), states/eV per atom: 0.990
Mass density, g cm⁻³: 9.9

---

No. 7
Compound: BaLa2F
Source: the Alexandria database
Functional: GGA-PBE
Structure: relaxed

Cell and atoms, written as CIF:
```
data_BaLa2F
_cell_length_a 7.986
_cell_length_b 7.986
_cell_length_c 9.680
_cell_angle_alpha 90.00
_cell_angle_beta 90.00
_cell_angle_gamma 90.00
_symmetry_space_group_name_H-M 'I -4 2 d'
_symmetry_Int_Tables_number 122
_symmetry_space_group_name_Hall 'I -4 2bw'
loop_
_atom_site_label
_atom_site_type_symbol
_atom_site_fract_x
_atom_site_fract_y
_atom_site_fract_z
Ba1 Ba 0.000 0.000 0.000
La1 La 0.093 0.250 0.625
F1 F 0.000 0.000 0.500
```

Properties
Formation energy (no corrections), kJ/mol of formula units: -417
D(E_F), states/eV per atom: 1.850
Mass density, g cm⁻³: 4.7
Distance to the lowest polymorph of the same formula, eV per formula unit: 0.00

---

No. 8
Compound: CaBSb2Te
Source: the Alexandria database
Functional: GGA-PBE
Structure: relaxed

Cell and atoms, written as CIF:
```
data_CaBSb2Te
_cell_length_a 5.767
_cell_length_b 5.767
_cell_length_c 5.718
_cell_angle_alpha 90.00
_cell_angle_beta 90.00
_cell_angle_gamma 90.00
_symmetry_space_group_name_H-M 'P 4/m m m'
_symmetry_Int_Tables_number 123
_symmetry_space_group_name_Hall '-P 4 2'
loop_
_atom_site_label
_atom_site_type_symbol
_atom_site_fract_x
_atom_site_fract_y
_atom_site_fract_z
Ca1 Ca 0.000 0.000 0.000
B1 B 0.500 0.500 0.500
Sb1 Sb 0.000 0.500 0.000
Te1 Te 0.000 0.000 0.500
```

Properties
Formation energy (no corrections), kJ/mol of formula units: 662
D(E_F), states/eV per atom: 0.910
Mass density, g cm⁻³: 3.7
Distance to the lowest polymorph of the same formula, eV per formula unit: 5.66

---

No. 9
Compound: Sr2ZrCu
Source: the Alexandria database
Functional: GGA-PBE
Structure: relaxed

Cell and atoms, written as CIF:
```
data_Sr2ZrCu
_cell_length_a 10.977
_cell_length_b 10.977
_cell_length_c 5.095
_cell_angle_alpha 90.00
_cell_angle_beta 90.00
_cell_angle_gamma 90.00
_symmetry_space_group_name_H-M 'I -4 2 d'
_symmetry_Int_Tables_number 122
_symmetry_space_group_name_Hall 'I -4 2bw'
loop_
_atom_site_label
_atom_site_type_symbol
_atom_site_fract_x
_atom_site_fract_y
_atom_site_fract_z
Sr1 Sr 0.106 0.750 0.125
Zr1 Zr 0.000 0.000 0.500
Cu1 Cu 0.000 0.000 0.000
```

Properties
ΔH_f (0 K), eV/atom: 0.595
D(E_F), states/eV per atom: 1.359
Mass density, g cm⁻³: 3.6
Distance to the lowest polymorph of the same formula, eV per formula unit: 1.59

---

No. 10
Compound: Ba2AcCuO5
Source: the Alexandria database
Functional: GGA-PBE
Structure: relaxed

Cell and atoms, written as CIF:
```
data_Ba2AcCuO5
_cell_length_a 6.918
_cell_length_b 6.918
_cell_length_c 6.254
_cell_angle_alpha 90.00
_cell_angle_beta 90.00
_cell_angle_gamma 90.00
_symmetry_space_group_name_H-M 'P 4/m b m'
_symmetry_Int_Tables_number 127
_symmetry_space_group_name_Hall '-P 4 2ab'
loop_
_atom_site_label
_atom_site_type_symbol
_atom_site_fract_x
_atom_site_fract_y
_atom_site_fract_z
Ba1 Ba 0.170 0.330 0.000
Ac1 Ac 0.000 0.000 0.500
Cu1 Cu 0.000 0.500 0.500
O1 O 0.000 0.000 0.000
O2 O 0.142 0.642 0.302
```

Properties
Formation energy (no corrections), kJ/mol of formula units: -1827
Mass density, g cm⁻³: 7.2